This record from Alexandria via LeMat-Bulk describes an optimized crystal structure of Pm6SmTm6. The functional is PBE.

Computed properties:
- total magnetization (μB/f.u.) = 0.000
- symmetry = P2/m
- uncorrected energy (eV/cell) = -57.31
- ΔE_f (eV/atom) = 0.211

a = 6.605 Å, b = 6.609 Å, c = 11.068 Å
α = 90.00°, β = 90.00°, γ = 115.25°
Element x y z (fractional)
Tm  0.000  0.500  0.774
Pm  0.265  0.736  0.500
Pm  0.356  0.640  0.000
Tm  0.500  0.500  0.699
Pm  0.735  0.264  0.500
Tm  0.000  0.500  0.226
Pm  0.000  0.000  0.671
Pm  0.000  0.000  0.329
Sm  0.000  0.000  0.000
Pm  0.644  0.360  0.000
Tm  0.500  0.000  0.225
Tm  0.500  0.000  0.775
Tm  0.500  0.500  0.301

This record from Alexandria via LeMat-Bulk describes an optimized crystal structure of AcSn2Se4. The functional is PBE.

Computed properties:
- total magnetization (μB/f.u.) = 0.000
- symmetry = Cmcm
- uncorrected energy (eV/cell) = -65.22
- formation energy (no corrections) (eV/atom) = -0.94

a = 4.300 Å, b = 7.145 Å, c = 13.959 Å
α = 90.00°, β = 90.00°, γ = 107.51°
Element x y z (fractional)
Sn  0.868  0.736  0.560
Se  0.776  0.552  0.123
Se  0.500  0.000  0.000
Se  0.500  0.000  0.500
Sn  0.868  0.736  0.940
Ac  0.607  0.215  0.750
Ac  0.393  0.785  0.250
Se  0.776  0.552  0.377
Sn  0.132  0.264  0.060
Se  0.945  0.890  0.750
Se  0.055  0.110  0.250
Sn  0.132  0.264  0.440
Se  0.224  0.448  0.623
Se  0.224  0.448  0.877

This record from Alexandria via LeMat-Bulk describes an optimized crystal structure of CaAg2Bi2. The functional is PBE.

Computed properties:
- total magnetization (μB/f.u.) = 0.000
- symmetry = I4/mmm
- uncorrected energy (eV/cell) = -16.50
- ΔE_f (eV/atom) = -0.206

a = 4.411 Å, b = 4.411 Å, c = 7.772 Å
α = 73.52°, β = 73.52°, γ = 90.00°
Element x y z (fractional)
Ag  0.750  0.250  0.500
Bi  0.611  0.611  0.777
Ag  0.250  0.750  0.500
Bi  0.389  0.389  0.223
Ca  0.000  0.000  0.000

This record from Alexandria via LeMat-Bulk describes an optimized crystal structure of Cu2Pt. The functional is PBE.

Computed properties:
- total magnetization (μB/f.u.) = 0.000
- symmetry = I4_1/amd
- uncorrected energy (eV/cell) = -28.34
- polymorph energy (0 for the lowest one) (meV/atom) = 166
- ΔE_f (eV/atom) = 0.020

a = 11.853 Å, b = 11.853 Å, c = 11.853 Å
α = 166.98°, β = 166.98°, γ = 18.46°
Element x y z (fractional)
Cu  0.580  0.580  0.000
Cu  0.170  0.670  0.500
Pt  0.000  0.000  0.000
Pt  0.750  0.250  0.500
Cu  0.420  0.420  0.000
Cu  0.330  0.830  0.500

This record from Alexandria via LeMat-Bulk describes an optimized crystal structure of SrInSbF. The functional is PBE.

Computed properties:
- total magnetization (μB/f.u.) = 0.000
- symmetry = P4/nmm
- uncorrected energy (eV/cell) = -33.53
- formation energy (no corrections) (eV/atom) = -1.59

a = 4.958 Å, b = 4.958 Å, c = 8.610 Å
α = 90.00°, β = 90.00°, γ = 90.00°
Element x y z (fractional)
F  0.500  0.500  0.500
Sb  0.500  0.000  0.193
Sr  0.000  0.500  0.389
Sr  0.500  0.000  0.611
Sb  0.000  0.500  0.807
F  0.000  0.000  0.500
In  0.500  0.500  0.000
In  0.000  0.000  0.000

This record from Alexandria via LeMat-Bulk describes an optimized crystal structure of SiPdRhBr2. The functional is PBE.

Computed properties:
- total magnetization (μB/f.u.) = 1.081
- symmetry = P4/mmm
- uncorrected energy (eV/cell) = -17.31
- formation energy (no corrections) (eV/atom) = 0.80

a = 5.190 Å, b = 4.588 Å, c = 5.190 Å
α = 90.00°, β = 90.00°, γ = 90.00°
Site moments in Bohr magnetons follow the coordinates.
Element x y z (fractional)
Pd  0.000  0.000  0.000  -0.01
Br  0.000  0.000  0.500  0.03
Si  0.000  0.500  0.000  -0.05
Br  0.500  0.000  0.000  0.04
Rh  0.500  0.500  0.500  1.13

This record from Alexandria via LeMat-Bulk describes an optimized crystal structure of Na3SbPd. The functional is PBE.

Computed properties:
- total magnetization (μB/f.u.) = 0.753
- symmetry = Pm-3m
- uncorrected energy (eV/cell) = -12.32
- polymorph energy (0 for the lowest one) (meV/atom) = 0
- formation energy (no corrections) (eV/atom) = 0.19

a = 5.318 Å, b = 5.318 Å, c = 5.318 Å
α = 90.00°, β = 90.00°, γ = 90.00°
Site moments in Bohr magnetons follow the coordinates.
Element x y z (fractional)
Pd  0.000  0.000  0.000  0.06
Na  0.000  0.000  0.500  0.00
Na  0.000  0.500  0.000  0.00
Sb  0.500  0.500  0.500  0.26
Na  0.500  0.000  0.000  0.00

This record from Alexandria via LeMat-Bulk describes an optimized crystal structure of CsBaUS4. The functional is PBE.

Computed properties:
- total magnetization (μB/f.u.) = 1.001
- symmetry = I4mm
- uncorrected energy (eV/cell) = -41.57
- formation energy (no corrections) (eV/atom) = -1.57

a = 5.255 Å, b = 5.255 Å, c = 8.990 Å
α = 107.00°, β = 107.00°, γ = 90.00°
Site moments in Bohr magnetons follow the coordinates.
Element x y z (fractional)
S  0.847  0.847  0.694  -0.04
S  0.992  0.492  0.983  -0.04
Cs  0.646  0.646  0.292  0.00
U  0.003  0.003  0.006  1.18
S  0.158  0.158  0.317  -0.04
Ba  0.362  0.362  0.724  0.00
S  0.492  0.992  0.983  -0.04

This record from Alexandria via LeMat-Bulk describes an optimized crystal structure of RbNpS3. The functional is PBE.

Computed properties:
- total magnetization (μB/f.u.) = 1.999
- symmetry = Pm-3m
- uncorrected energy (eV/cell) = -32.37
- formation energy (no corrections) (eV/atom) = -1.22

a = 5.195 Å, b = 5.195 Å, c = 5.195 Å
α = 90.00°, β = 90.00°, γ = 90.00°
Site moments in Bohr magnetons follow the coordinates.
Element x y z (fractional)
S  0.500  0.000  0.000  -0.17
Rb  0.500  0.500  0.500  0.00
S  0.000  0.000  0.500  -0.17
Np  0.000  0.000  0.000  2.65
S  0.000  0.500  0.000  -0.17

This record from Alexandria via LeMat-Bulk describes an optimized crystal structure of K4PaS5. The functional is PBE.

Computed properties:
- total magnetization (μB/f.u.) = 1.111
- symmetry = I4
- uncorrected energy (eV/cell) = -47.37
- formation energy (no corrections) (eV/atom) = -1.28

a = 6.259 Å, b = 7.731 Å, c = 7.731 Å
α = 80.57°, β = 66.12°, γ = 66.12°
Site moments in Bohr magnetons follow the coordinates.
Element x y z (fractional)
S  0.924  0.324  0.828  0.17
K  0.205  0.205  0.390  0.00
Pa  0.040  0.000  0.000  -0.10
K  0.595  0.610  0.205  0.00
S  0.248  0.828  0.676  0.17
K  0.801  0.795  0.610  0.00
K  0.410  0.390  0.795  0.00
S  0.457  0.000  0.000  0.03
S  0.077  0.676  0.172  0.17
S  0.752  0.172  0.324  0.17

total magnetization of number 7 (Na3SbPd)?
0.753 μB/f.u.

Please write out number 7 again, unchanged.
This record from Alexandria via LeMat-Bulk describes an optimized crystal structure of Na3SbPd. The functional is PBE.

Computed properties:
- total magnetization (μB/f.u.) = 0.753
- symmetry = Pm-3m
- uncorrected energy (eV/cell) = -12.32
- polymorph energy (0 for the lowest one) (meV/atom) = 0
- formation energy (no corrections) (eV/atom) = 0.19

a = 5.318 Å, b = 5.318 Å, c = 5.318 Å
α = 90.00°, β = 90.00°, γ = 90.00°
Site moments in Bohr magnetons follow the coordinates.
Element x y z (fractional)
Pd  0.000  0.000  0.000  0.06
Na  0.000  0.000  0.500  0.00
Na  0.000  0.500  0.000  0.00
Sb  0.500  0.500  0.500  0.26
Na  0.500  0.000  0.000  0.00